VASP calculation (PBE) on a relaxed structure of CeUMn.

abc: 4.700 4.700 4.700
angles: 131.42 131.42 71.14
Element x y z (fractional)
Ce: 0.000 0.000 0.000
U: 0.646 0.646 0.000
Mn: 0.360 0.360 0.000

## Properties
Formation enthalpy at 0 K (eV per atom): 0.3760
Space-group type: No. 107
Spin magnetization (μB per atom): 0.2460